Density functional theory data (GGA+U) for a relaxed CsCr2GeO8 crystal.

Calculated values
As for the calculated total energy: -0.236 hartree per atom. For the spin magnetization, the calculation gives 1.000 μB/f.u.

Cell: 5.1547 5.1547 8.6372 Å, 84.88 84.88 64.17°
With the nearest neighbours (Å) after each atom.
Element x y z (fractional)
Cs1 0.0000 0.0000 0.5000  10 O 3.19-3.32
Cr1 0.6251 0.6251 0.1825  4 O 1.63-1.73
Cr2 0.3749 0.3749 0.8175  4 O 1.63-1.73
Ge1 0.0000 0.0000 0.0000  6 O 1.90-1.91
O1 0.7410 0.2242 0.8427  1 Cr 1.73, 1 Ge 1.91
O2 0.7826 0.7826 0.0479  1 Cr 1.70, 1 Ge 1.90
O3 0.6772 0.6772 0.3582  1 Cr 1.63
O4 0.3228 0.3228 0.6418  1 Cr 1.63
O5 0.2174 0.2174 0.9521  1 Cr 1.70, 1 Ge 1.90
O6 0.2242 0.7410 0.8427  1 Cr 1.73, 1 Ge 1.91
O7 0.7758 0.2590 0.1573  1 Cr 1.73, 1 Ge 1.91
O8 0.2590 0.7758 0.1573  1 Cr 1.73, 1 Ge 1.91